Record 1
Material: MnRe2AsRu
Method: DFT, GGA-PBE
State: relaxed

Cell: 4.5486 4.5486 4.4656 Å, 90.00 90.00 90.00°
With the nearest neighbours (Å) after each atom.
Fractional coordinates of all 5 atoms:
Mn 0.0000 0.0000 0.0000  8 Re 3.19, 4 Ru 3.22
Re 0.0000 0.5000 0.5000  2 As 2.27
Re 0.5000 0.0000 0.5000  2 As 2.27
As 0.5000 0.5000 0.5000  2 Ru 2.23, 4 Re 2.27
Ru 0.5000 0.5000 0.0000  2 As 2.23

Summary:
Symmetry: P4/mmm (123)
Fermi-level density of states in states/eV/cell: 2.97
Energy relative to the elements in eV/atom: 1.374
Spin magnetization in μB/f.u.: 2.819

=====

Record 2
Material: MnReAs2Se
Method: DFT, GGA-PBE
State: relaxed

Cell: 4.6704 4.6704 5.6129 Å, 90.00 90.00 90.00°
With the nearest neighbours (Å) after each atom.
Fractional coordinates of all 5 atoms:
Mn 0.0000 0.0000 0.0000  4 Se 3.30, 8 As 3.65
Re 0.5000 0.5000 0.5000  4 As 2.34
As 0.0000 0.5000 0.5000  2 Re 2.34
As 0.5000 0.0000 0.5000  2 Re 2.34
Se 0.5000 0.5000 0.0000  2 Re 2.81

Summary:
Symmetry: P4/mmm (123)
Fermi-level density of states in states/eV/cell: 4.70
Offset from the most stable computed form in meV/atom: 0
Spin magnetization in μB/f.u.: 5.093

=====

Record 3
Material: MnReAs2Se
Method: DFT, GGA-PBE
State: relaxed

Cell: 4.5097 4.5097 4.8064 Å, 90.00 90.00 90.00°
With the nearest neighbours (Å) after each atom.
Fractional coordinates of all 5 atoms:
Mn 0.0000 0.0000 0.0000  4 As 2.25, 2 Se 2.40
Re 0.5000 0.5000 0.5000  4 Se 3.19, 8 As 3.30
As 0.0000 0.5000 0.0000  2 Mn 2.25
As 0.5000 0.0000 0.0000  2 Mn 2.25
Se 0.0000 0.0000 0.5000  2 Mn 2.40

Summary:
Symmetry: P4/mmm (123)
Fermi-level density of states in states/eV/cell: 5.40
Offset from the most stable computed form in meV/atom: 388
Spin magnetization in μB/f.u.: 4.318

=====

Record 4
Material: MnAs2Rh
Method: DFT, GGA-PBE
State: relaxed

Cell: 7.8361 3.0197 5.3985 Å, 90.00 103.15 90.00°
With the nearest neighbours (Å) after each atom.
Fractional coordinates of all 8 atoms:
Mn 0.0000 0.0000 0.0000  6 As 2.59-2.60
Mn 0.5000 0.5000 0.0000  6 As 2.59-2.60
As 0.2477 0.0000 0.7534  3 Rh 2.59-2.65, 3 Mn 2.59-2.60
As 0.2523 0.5000 0.2466  3 Rh 2.59-2.65, 3 Mn 2.59-2.60
As 0.7477 0.5000 0.7534  3 Rh 2.59-2.65, 3 Mn 2.59-2.60
As 0.7523 0.0000 0.2466  3 Rh 2.59-2.65, 3 Mn 2.59-2.60
Rh 0.0000 0.5000 0.5000  6 As 2.59-2.65
Rh 0.5000 0.0000 0.5000  6 As 2.59-2.65

Summary:
Symmetry: C2/m (12)
Fermi-level density of states in states/eV/cell: 6.31
Energy relative to the elements in eV/atom: -0.077
Offset from the most stable computed form in meV/atom: 163
Spin magnetization in μB/f.u.: 3.425

=====

Number 1 is which compound?
MnRe2AsRu